(1)
## TaTl2Au (PBE)

Data for a relaxed structure of TaTl2Au.

Calculated values
Symmetry = No. 160
Calculated total energy = -18.6 eV per cell
Offset from the most stable computed form = 0.040 eV/atom

a = 10.207 Å, b = 10.207 Å, c = 10.207 Å
α = 18.14°, β = 18.14°, γ = 18.14°
Fractional coordinates of all 4 atoms:
1 Ta 0.000 0.000 0.000
2 Tl 0.250 0.250 0.250
3 Tl 0.489 0.489 0.489
4 Au 0.737 0.737 0.737

---

(2)
## Ta2TlAu (PBE)

Data for a relaxed structure of Ta2TlAu.

Calculated values
Symmetry = No. 123
Calculated total energy = -28.1 eV per cell

a = 2.980 Å, b = 2.980 Å, c = 8.564 Å
α = 90.00°, β = 90.00°, γ = 90.00°
Fractional coordinates of all 4 atoms:
1 Ta 0.000 0.000 0.235
2 Ta 0.000 0.000 0.765
3 Tl 0.500 0.500 0.500
4 Au 0.500 0.500 0.000

---

no.,calculated formation energy (eV per atom)
1,0.3221
2,0.3218